1.
First-principles (GGA+U) data for a relaxed Co2ReHF crystal, as listed in the Alexandria database.

crystal system = tetragonal
calculated density = 7.67 g/cm³
energy = -4.17 eV/atom

Cell: 3.973 3.973 4.443 Å, 90.00 90.00 90.00°
Sites, in units of the cell vectors:
Co  0.000  0.500  0.000
Co  0.500  0.000  0.000
Re  0.000  0.000  0.500
H  0.500  0.500  0.500
F  0.000  0.000  0.000



2.
First-principles (GGA+U) data for a relaxed CoHSe2F crystal, as listed in the Alexandria database.

crystal system = tetragonal
calculated density = 5.17 g/cm³
energy = -3.45 eV/atom

Cell: 5.476 5.476 2.538 Å, 90.00 90.00 90.00°
Sites, in units of the cell vectors:
Co  0.000  0.000  0.000
H  0.500  0.500  0.500
Se  0.000  0.500  0.500
Se  0.500  0.000  0.500
F  0.500  0.500  0.000



3.
First-principles (GGA+U) data for a relaxed SrCoHF2 crystal, as listed in the Alexandria database.

crystal system = tetragonal
calculated density = 4.54 g/cm³
energy = -4.01 eV/atom

Cell: 4.588 4.588 3.225 Å, 90.00 90.00 90.00°
Sites, in units of the cell vectors:
Sr  0.000  0.000  0.000
Co  0.500  0.500  0.000
H  0.500  0.500  0.500
F  0.000  0.500  0.500
F  0.500  0.000  0.500